PBEsol NaFeRe2, relaxed; calculated volume = 54.4 Å³/cell; DFT total energy = -32.26 eV for the cell shown; space group = No. 225; calculated formation energy = 1.191 eV/atom
1.0
4.2540 0.0000 0.0000
2.1270 3.6840 0.0000
2.1270 1.2280 3.4733
Fe Re Na
1 2 1
Direct
0.5000 0.5000 0.5000
0.7500 0.7500 0.7500
0.2500 0.2500 0.2500
0.0000 0.0000 0.0000